1.
Computed, not measured: an optimized crystal structure of MgHN at the PBE-GGA level of DFT.

Results
For the size of the total moment, the calculation gives 0.00 μB/f.u. The calculation puts the total energy at -5.048 eV/atom. The value obtained for the theoretical density is 2.22 g/cm³. The value obtained for the density of states at the Fermi level is 0.0 states/eV per cell.

a = 3.244 Å, b = 3.244 Å, c = 5.586 Å
α = 90.00°, β = 90.00°, γ = 90.43°
Fractional positions:
Mg 0.503 0.503 0.000
Mg 0.503 0.503 0.500
H 0.133 0.001 0.250
H 0.001 0.133 0.750
N 0.000 0.454 0.750
N 0.454 0.000 0.250

***

2.
Computed, not measured: an optimized crystal structure of MgHN2 at the PBE-GGA level of DFT.

Results
For the size of the total moment, the calculation gives 0.00 μB/f.u. The calculation puts the total energy at -4.610 eV/atom. The value obtained for the theoretical density is 2.83 g/cm³. The value obtained for the density of states at the Fermi level is 2.4 states/eV per cell.

a = 3.441 Å, b = 3.441 Å, c = 5.824 Å
α = 72.82°, β = 72.82°, γ = 90.00°
Fractional positions:
H 0.500 0.500 0.000
H 0.250 0.750 0.500
Mg 0.000 0.000 0.000
Mg 0.750 0.250 0.500
N 0.473 0.125 0.250
N 0.277 0.625 0.250
N 0.375 0.527 0.750
N 0.875 0.723 0.750

***

3.
Computed, not measured: an optimized crystal structure of Mg2HN at the PBE-GGA level of DFT.

Results
For the size of the total moment, the calculation gives 0.00 μB/f.u. The calculation puts the total energy at -4.090 eV/atom. The value obtained for the theoretical density is 1.94 g/cm³. The value obtained for the density of states at the Fermi level is 0.0 states/eV per cell.

a = 4.635 Å, b = 4.635 Å, c = 6.029 Å
α = 67.39°, β = 67.39°, γ = 90.00°
Fractional positions:
H 0.500 0.500 0.000
H 0.250 0.750 0.500
Mg 0.656 0.125 0.250
Mg 0.094 0.625 0.250
Mg 0.375 0.344 0.750
Mg 0.875 0.906 0.750
N 0.000 0.000 0.000
N 0.750 0.250 0.500

***

4.
Computed, not measured: an optimized crystal structure of MgHN at the PBE-GGA level of DFT.

Results
For the size of the total moment, the calculation gives 0.00 μB/f.u. The calculation puts the total energy at -4.905 eV/atom. The value obtained for the theoretical density is 2.71 g/cm³. The value obtained for the density of states at the Fermi level is 0.0 states/eV per cell.

a = 5.652 Å, b = 5.708 Å, c = 2.983 Å
α = 90.00°, β = 90.00°, γ = 90.00°
Fractional positions:
H 0.737 0.250 0.183
H 0.763 0.750 0.683
H 0.263 0.750 0.817
H 0.237 0.250 0.317
Mg 0.000 0.000 0.000
Mg 0.500 0.500 0.500
Mg 0.500 0.000 0.500
Mg 0.000 0.500 0.000
N 0.329 0.250 0.015
N 0.171 0.750 0.515
N 0.671 0.750 0.985
N 0.829 0.250 0.485

***

5.
Computed, not measured: an optimized crystal structure of MgHN2 at the PBE-GGA level of DFT.

Results
For the size of the total moment, the calculation gives 0.00 μB/f.u. The calculation puts the total energy at -4.151 eV/atom. The value obtained for the theoretical density is 2.57 g/cm³. The value obtained for the density of states at the Fermi level is 1.4 states/eV per cell.

a = 3.975 Å, b = 3.975 Å, c = 3.975 Å
α = 50.50°, β = 50.50°, γ = 50.50°
Fractional positions:
H 0.500 0.500 0.500
Mg 0.000 0.000 0.000
N 0.804 0.804 0.804
N 0.196 0.196 0.196

***

6.
Computed, not measured: an optimized crystal structure of Mg2HN at the PBE-GGA level of DFT.

Results
For the size of the total moment, the calculation gives 0.00 μB/f.u. The calculation puts the total energy at -4.274 eV/atom. The value obtained for the theoretical density is 2.35 g/cm³. The value obtained for the density of states at the Fermi level is 0.0 states/eV per cell.

a = 4.073 Å, b = 3.217 Å, c = 6.858 Å
α = 90.05°, β = 90.00°, γ = 89.99°
Fractional positions:
Mg 0.701 0.732 0.265
Mg 0.701 0.733 0.678
Mg 0.201 0.233 0.538
Mg 0.201 0.234 0.951
H 0.201 0.734 0.179
H 0.701 0.235 0.036
N 0.201 0.733 0.753
N 0.701 0.233 0.463

***

7.
Computed, not measured: an optimized crystal structure of Mg2HN at the PBE-GGA level of DFT.

Results
For the size of the total moment, the calculation gives 0.00 μB/f.u. The calculation puts the total energy at -4.205 eV/atom. The value obtained for the theoretical density is 2.55 g/cm³.

a = 3.163 Å, b = 3.163 Å, c = 4.137 Å
α = 90.00°, β = 90.00°, γ = 90.00°
Fractional positions:
Mg 0.500 0.500 0.500
Mg 0.000 0.000 0.000
H 0.500 0.500 0.000
N 0.000 0.000 0.500

***

8.
Computed, not measured: an optimized crystal structure of Mg2HN at the PBE-GGA level of DFT.

Results
For the size of the total moment, the calculation gives 0.00 μB/f.u. The calculation puts the total energy at -4.129 eV/atom. The value obtained for the theoretical density is 2.19 g/cm³. The value obtained for the density of states at the Fermi level is 0.2 states/eV per cell.

a = 3.272 Å, b = 5.392 Å, c = 5.788 Å
α = 100.66°, β = 103.77°, γ = 95.94°
Fractional positions:
Mg 0.508 0.301 0.187
Mg 0.223 0.278 0.644
Mg 0.231 0.723 0.488
Mg 0.944 0.726 0.933
H 0.092 0.019 0.311
H 0.711 0.081 0.874
N 0.399 0.994 0.843
N 0.727 0.494 0.564